No. 1
VASP calculation (GGA-PBE) on ZrSnIr2 after structural relaxation. Values from VASP.

Cell and atoms, written as Quantum ESPRESSO input:
```
&SYSTEM
  ibrav = 0, nat = 4, ntyp = 3
/
ATOMIC_SPECIES
Ir 192.22 Ir.upf
Sn 118.71 Sn.upf
Zr 91.22 Zr.upf
ATOMIC_POSITIONS crystal
Ir 0.0000 0.0000 0.5000
Ir 0.0000 0.5000 0.0000
Sn 0.5000 0.0000 0.0000
Zr 0.5000 0.5000 0.5000
CELL_PARAMETERS angstrom
-2.5630 0.1693 -2.8453
3.0446 -1.1203 -2.8092
-0.9556 -4.1382 0.6145
```

## Properties
- ΔH_f (0 K): -0.522 eV per atom
- Density: 13.98 g/cm3
- Spin magnetization: 0.0 μB/f.u.
- Calculated total energy: -8.0898 eV per atom

No. 2
VASP calculation (GGA-PBE) on LiAcPmHg after structural relaxation. Values from VASP.

Cell and atoms, written as Quantum ESPRESSO input:
```
&SYSTEM
  ibrav = 0, nat = 4, ntyp = 4
/
ATOMIC_SPECIES
Ac 227.00 Ac.upf
Li 6.94 Li.upf
Hg 200.59 Hg.upf
Pm 145.00 Pm.upf
ATOMIC_POSITIONS crystal
Ac 0.2500 0.2500 0.2500
Li 0.0000 0.0000 0.0000
Hg 0.5000 0.5000 0.5000
Pm 0.7500 0.7500 0.7500
CELL_PARAMETERS angstrom
5.5437 0.0000 0.0000
2.7719 4.8010 0.0000
2.7719 1.6003 4.5264
```

## Properties
- ΔH_f (0 K): -0.182 eV per atom
- Density: 7.99 g/cm3
- Spin magnetization: 0.1 μB/f.u.
- Calculated total energy: -2.9506 eV per atom

Which of these has the lowest spin magnetization? ZrSnIr2